Entry 1:
# Ce3Sn5Pt12 | the Alexandria database | PBE | optimized geometry
# density of states at the Fermi level: 12.8 states/eV/f.u.
data_Ce3Sn5Pt12
_chemical_formula_sum 'Ce24 Sn40 Pt96'
_symmetry_space_group_name_H-M 'I a -3 d'
_symmetry_Int_Tables_number 230
_symmetry_space_group_name_Hall '-I 4bd 2c 3'
_cell_length_a 15.7880
_cell_length_b 15.7880
_cell_length_c 15.7880
_cell_angle_alpha 90.00
_cell_angle_beta 90.00
_cell_angle_gamma 90.00
loop_
_atom_site_label
_atom_site_fract_x
_atom_site_fract_y
_atom_site_fract_z
Ce1 0.0000 0.2500 0.1250
Sn1 0.0000 0.0000 0.0000
Sn2 0.0000 0.2500 0.3750
Pt1 0.0070 0.0717 0.6520



Entry 2:
# ZrCuTc4 | the Alexandria database | PBE | optimized geometry
# density of states at the Fermi level: 5.3 states/eV/f.u.
data_ZrCuTc4
_chemical_formula_sum 'Zr4 Cu4 Tc16'
_symmetry_space_group_name_H-M 'F -4 3 m'
_symmetry_Int_Tables_number 216
_symmetry_space_group_name_Hall 'F -4 2 3'
_cell_length_a 7.3171
_cell_length_b 7.3171
_cell_length_c 7.3171
_cell_angle_alpha 90.00
_cell_angle_beta 90.00
_cell_angle_gamma 90.00
loop_
_atom_site_label
_atom_site_fract_x
_atom_site_fract_y
_atom_site_fract_z
Zr1 0.0000 0.0000 0.0000
Cu1 0.2500 0.2500 0.7500
Tc1 0.1240 0.1240 0.3760



Entry 3:
# Sr2InCu2 | the Alexandria database | PBE | optimized geometry
# density of states at the Fermi level: 1.5 states/eV/f.u.
data_Sr2InCu2
_chemical_formula_sum 'Sr4 In2 Cu4'
_symmetry_space_group_name_H-M 'I 4/m m m'
_symmetry_Int_Tables_number 139
_symmetry_space_group_name_Hall '-I 4 2'
_cell_length_a 3.6116
_cell_length_b 3.6116
_cell_length_c 20.1645
_cell_angle_alpha 90.00
_cell_angle_beta 90.00
_cell_angle_gamma 90.00
loop_
_atom_site_label
_atom_site_fract_x
_atom_site_fract_y
_atom_site_fract_z
Sr1 0.0000 0.0000 0.1204
In1 0.0000 0.0000 0.5000
Cu1 0.0000 0.5000 0.2500



Entry 4:
# Dy2Sn3Hg3 | the Alexandria database | PBE | optimized geometry
# density of states at the Fermi level: 3.1 states/eV/f.u.
data_Dy2Sn3Hg3
_chemical_formula_sum 'Dy2 Sn3 Hg3'
_symmetry_space_group_name_H-M 'P m m m'
_symmetry_Int_Tables_number 47
_cell_length_a 4.6194
_cell_length_b 4.7337
_cell_length_c 9.0574
_cell_angle_alpha 90.00
_cell_angle_beta 90.00
_cell_angle_gamma 90.00
loop_
_symmetry_equiv_pos_as_xyz
'x,y,z'
'-x,-y,-z'
'-x,-y,z'
'x,y,-z'
'x,-y,-z'
'-x,y,z'
'-x,y,-z'
'x,-y,z'
loop_
_atom_site_label
_atom_site_fract_x
_atom_site_fract_y
_atom_site_fract_z
Dy1 0.0000 0.0000 0.2468
Sn1 0.0000 0.5000 0.0000
Sn2 0.5000 0.0000 0.0000
Sn3 0.5000 0.0000 0.5000
Hg1 0.0000 0.5000 0.5000
Hg2 0.5000 0.5000 0.2554



Entry 5:
# RbRh2Br2 | the Alexandria database | PBE | optimized geometry
# density of states at the Fermi level: 5.0 states/eV/f.u.
# raw formation energy: 0.087 eV per atom
data_RbRh2Br2
_chemical_formula_sum 'Rb2 Rh4 Br4'
_symmetry_space_group_name_H-M 'P 4/m b m'
_symmetry_Int_Tables_number 127
_symmetry_space_group_name_Hall '-P 4 2ab'
_cell_length_a 8.7007
_cell_length_b 8.7007
_cell_length_c 3.7387
_cell_angle_alpha 90.00
_cell_angle_beta 90.00
_cell_angle_gamma 90.00
loop_
_atom_site_label
_atom_site_fract_x
_atom_site_fract_y
_atom_site_fract_z
Rb1 0.0000 0.0000 0.0000
Rh1 0.0963 0.4037 0.0000
Br1 0.2274 0.2726 0.5000



Entry 6:
# LiSi2Te6 | the Alexandria database | PBE | optimized geometry
# density of states at the Fermi level: 3.7 states/eV/f.u.
# raw formation energy: -0.067 eV per atom
data_LiSi2Te6
_chemical_formula_sum 'Li4 Si8 Te24'
_symmetry_space_group_name_H-M 'C 1 2/c 1'
_symmetry_Int_Tables_number 15
_cell_length_a 14.9784
_cell_length_b 11.6810
_cell_length_c 7.1827
_cell_angle_alpha 90.00
_cell_angle_beta 106.01
_cell_angle_gamma 90.00
loop_
_symmetry_equiv_pos_as_xyz
'x,y,z'
'-x,-y,-z'
'-x,y,-z+1/2'
'x,-y,z+1/2'
'x+1/2,y+1/2,z'
'-x+1/2,-y+1/2,-z'
'-x+1/2,y+1/2,-z+1/2'
'x+1/2,-y+1/2,z+1/2'
loop_
_atom_site_label
_atom_site_fract_x
_atom_site_fract_y
_atom_site_fract_z
Li1 0.0000 0.1170 0.2500
Si1 0.2060 0.4156 0.1828
Te1 0.1175 0.0935 0.7161
Te2 0.1311 0.4208 0.4584
Te3 0.1496 0.2084 0.1028



Entry 7:
# Tl2ZnSe | the Alexandria database | PBE | optimized geometry
# density of states at the Fermi level: 1.4 states/eV/f.u.
# raw formation energy: -0.009 eV per atom
data_Tl2ZnSe
_chemical_formula_sum 'Tl4 Zn2 Se2'
_symmetry_space_group_name_H-M 'I -4 m 2'
_symmetry_Int_Tables_number 119
_symmetry_space_group_name_Hall 'I -4 -2'
_cell_length_a 4.6420
_cell_length_b 4.6420
_cell_length_c 9.9805
_cell_angle_alpha 90.00
_cell_angle_beta 90.00
_cell_angle_gamma 90.00
loop_
_atom_site_label
_atom_site_fract_x
_atom_site_fract_y
_atom_site_fract_z
Tl1 0.0000 0.0000 0.0000
Tl2 0.0000 0.5000 0.2500
Zn1 0.0000 0.5000 0.7500
Se1 0.0000 0.0000 0.5000



| no. | calculated total energy (eV per atom) | V (Å³ per cell) | calculated density (Mg/m³) |
| --- | --- | --- | --- |
| 1 | -5.961 | 3935.3 | 11.32 |
| 2 | -8.924 | 391.8 | 9.27 |
| 3 | -2.924 | 263.0 | 5.27 |
| 4 | -3.193 | 198.1 | 10.76 |
| 5 | -3.716 | 283.0 | 5.29 |
| 6 | -3.579 | 1208.0 | 4.56 |
| 7 | -2.381 | 215.1 | 8.54 |